Record 1
Entry from the Alexandria database: an optimized crystal structure of Ac2PmDyP4 (PBE).

Cell: 7.3717 4.2594 7.3905 Å, 90.00 109.40 90.00°
Last column: nearest neighbours and their distance in Å.
Space group P2/m (No. 10)
Inequivalent atoms, fractional coordinates:
Ac1 0.0000 0.0000 0.0000 [1 per cell]  6 P 3.11
Ac2 0.5000 0.5000 0.0000 [1 per cell]  6 P 3.08
Pm1 0.0000 0.5000 0.5000 [1 per cell]  6 P 2.95
Dy1 0.5000 0.0000 0.5000 [1 per cell]  6 P 2.92
P1 0.2472 0.0000 0.7313 [2 per cell]  1 Dy 2.92, 2 Pm 2.95, 3 Ac 3.08-3.11
P2 0.2601 0.5000 0.2706 [2 per cell]  2 Dy 2.92, 1 Pm 2.95, 3 Ac 3.08-3.11

Calculated values
Energy relative to the elements ... -11.9 eV/f.u.
Density of states at the Fermi level ... 0.079 states/eV per atom

Record 2
Entry from the Alexandria database: an optimized crystal structure of AcPr2DyP4 (PBE).

Cell: 7.3109 4.2242 7.3130 Å, 90.00 109.36 90.00°
Last column: nearest neighbours and their distance in Å.
Space group P2/m (No. 10)
Inequivalent atoms, fractional coordinates:
Ac1 0.0000 0.0000 0.0000 [1 per cell]  6 P 3.03-3.04
Pr1 0.5000 0.0000 0.5000 [1 per cell]  6 P 2.94
Pr2 0.5000 0.5000 0.0000 [1 per cell]  6 P 3.03
Dy1 0.0000 0.5000 0.5000 [1 per cell]  6 P 2.93-2.94
P1 0.2462 0.0000 0.7386 [2 per cell]  3 Pr 2.94-3.03, 2 Dy 2.94, 1 Ac 3.03
P2 0.2539 0.5000 0.2623 [2 per cell]  1 Dy 2.93, 3 Pr 2.94-3.03, 2 Ac 3.04

Calculated values
Energy relative to the elements ... -11.9 eV/f.u.
Density of states at the Fermi level ... 0.098 states/eV per atom

Record 3
Entry from the Alexandria database: an optimized crystal structure of Ac2PrDyP4 (PBE).

Cell: 7.4042 4.2792 7.4216 Å, 90.00 109.40 90.00°
Last column: nearest neighbours and their distance in Å.
Space group P2/m (No. 10)
Inequivalent atoms, fractional coordinates:
Ac1 0.0000 0.0000 0.0000 [1 per cell]  6 P 3.12
Ac2 0.5000 0.5000 0.0000 [1 per cell]  6 P 3.07-3.08
Pr1 0.0000 0.5000 0.5000 [1 per cell]  6 P 2.98
Dy1 0.5000 0.0000 0.5000 [1 per cell]  6 P 2.93-2.94
P1 0.2501 0.0000 0.7340 [2 per cell]  1 Dy 2.93, 2 Pr 2.98, 3 Ac 3.08-3.12
P2 0.2614 0.5000 0.2691 [2 per cell]  2 Dy 2.94, 1 Pr 2.98, 3 Ac 3.07-3.12

Calculated values
Energy relative to the elements ... -11.8 eV/f.u.
Density of states at the Fermi level ... 0.083 states/eV per atom

Record 4
Entry from the Alexandria database: an optimized crystal structure of AcDyP2Rh5 (PBE).

Cell: 4.1229 4.1229 10.6016 Å, 90.00 90.00 90.00°
Last column: nearest neighbours and their distance in Å.
Space group P4/mmm (No. 123)
Inequivalent atoms, fractional coordinates:
Ac1 0.0000 0.0000 0.0000 [1 per cell]  4 Rh 2.92
Dy1 0.0000 0.0000 0.5000 [1 per cell]  8 Rh 2.91
P1 0.5000 0.5000 0.2167 [2 per cell]  5 Rh 2.27-2.30
Rh1 0.0000 0.5000 0.3064 [4 per cell]  2 P 2.27
Rh2 0.5000 0.5000 0.0000 [1 per cell]  2 P 2.30

Calculated values
Energy relative to the elements ... -7.3 eV/f.u.
Density of states at the Fermi level ... 0.540 states/eV per atom

Record 5
Entry from the Alexandria database: an optimized crystal structure of AcDyP2Rh2 (PBE).

Cell: 4.1106 4.1106 8.3219 Å, 90.00 90.00 120.00°
Last column: nearest neighbours and their distance in Å.
Space group P-3m1 (No. 164)
Inequivalent atoms, fractional coordinates:
Ac1 0.0000 0.0000 0.0000 [1 per cell]  6 Rh 3.21, 6 P 3.32
Dy1 0.0000 0.0000 0.5000 [1 per cell]  6 P 3.00, 6 Rh 3.10
P1 0.3333 0.6667 0.2796 [2 per cell]  3 Rh 2.38
Rh1 0.3333 0.6667 0.7404 [2 per cell]  3 P 2.38

Calculated values
Energy relative to the elements ... -7.2 eV/f.u.
Density of states at the Fermi level ... 0.704 states/eV per atom

Record 6
Entry from the Alexandria database: an optimized crystal structure of Ac2DyP3Rh4 (PBE).

Cell: 4.1400 4.1400 11.3583 Å, 90.00 90.00 90.00°
Last column: nearest neighbours and their distance in Å.
Space group P-4m2 (No. 115)
Inequivalent atoms, fractional coordinates:
Ac1 0.0000 0.5000 0.2305 [2 per cell]  8 Rh 3.15-3.34, 4 P 3.19
Dy1 0.0000 0.0000 0.5000 [1 per cell]  4 Rh 2.81, 4 P 2.93
P1 0.0000 0.5000 0.8809 [2 per cell]  5 Rh 2.42-2.47
P2 0.5000 0.5000 0.5000 [1 per cell]  4 Rh 2.81, 4 Dy 2.93
Rh1 0.0000 0.0000 0.0000 [1 per cell]  4 P 2.47
Rh2 0.0000 0.5000 0.6674 [2 per cell]  1 P 2.42
Rh3 0.5000 0.5000 0.0000 [1 per cell]  4 P 2.47

Calculated values
Energy relative to the elements ... -10.1 eV/f.u.
Density of states at the Fermi level ... 0.598 states/eV per atom